Below is crystalline Tb2Pr3In6 at its relaxed geometry, with properties calculated at the PBE level.

Results
The crystal system is tetragonal. Its formation energy is -222.2 meV/atom. The electronic total energy is -42.47 eV per cell.

Cell lengths 4.7908, 4.7908, 14.9938 Å; angles 99.19, 99.19, 90.00 degrees
Atoms (fractional coordinates):
Tb 0.5538 0.5538 0.1076
Pr 0.0000 0.0000 0.0000
In 0.3121 0.3121 0.6243
Pr 0.7983 0.7983 0.5966
Tb 0.4462 0.4462 0.8924
Pr 0.2017 0.2017 0.4034
In 0.1183 0.6183 0.2367
In 0.8817 0.3817 0.7633
In 0.6183 0.1183 0.2367
In 0.6879 0.6879 0.3757
In 0.3817 0.8817 0.7633



Below is crystalline MgZrCo2Tc at its relaxed geometry, with properties calculated at the PBE level.

Results
The crystal system is tetragonal. Its formation energy is 1481.1 meV/atom. The electronic total energy is -27.31 eV per cell.

Cell lengths 4.1942, 4.9314, 4.1942 Å; angles 90.00, 90.00, 90.00 degrees
Atoms (fractional coordinates):
Co 0.5000 0.0000 0.0000
Zr 0.0000 0.5000 0.0000
Mg 0.0000 0.0000 0.0000
Tc 0.5000 0.5000 0.5000
Co 0.0000 0.0000 0.5000



Below is crystalline Tb5ErTl8 at its relaxed geometry, with properties calculated at the PBE level.

Results
The crystal system is tetragonal. Its formation energy is -241.0 meV/atom. The electronic total energy is -50.02 eV per cell.

Cell lengths 8.0445, 8.0445, 8.0445 Å; angles 109.25, 109.92, 109.25 degrees
Atoms (fractional coordinates):
Tb 0.9973 0.3698 0.1217
Tl 0.9624 0.0880 0.7075
Tl 0.7916 0.2528 0.3793
Tl 0.6195 0.9120 0.8744
Tl 0.1256 0.7451 0.0376
Tb 0.7519 0.6302 0.6275
Tl 0.1265 0.7472 0.5388
Tl 0.4612 0.5877 0.2084
Tb 0.8783 0.8756 0.2481
Tb 0.5000 0.0000 0.5000
Tb 0.3725 0.1244 0.0027
Tl 0.6207 0.4123 0.8735
Er 0.2500 0.5000 0.7500
Tl 0.2925 0.2549 0.3805



Below is crystalline Pa2TaTe at its relaxed geometry, with properties calculated at the PBE level.

Results
The crystal system is tetragonal. The calculation puts the polymorph energy (0 for the lowest one) at 0.023 eV per atom. The electronic total energy is -34.14 eV per cell.

Cell lengths 4.5559, 4.4653, 4.4653 Å; angles 90.00, 90.00, 90.00 degrees
Atoms (fractional coordinates):
Pa 0.0000 0.0000 0.5000
Ta 0.5000 0.5000 0.5000
Te 0.5000 0.0000 0.0000
Pa 0.0000 0.5000 0.0000



Below is crystalline KCoTe2 at its relaxed geometry, with properties calculated at the PBE level.

Results
The crystal system is monoclinic. The electronic total energy is -15.23 eV per cell.

Cell lengths 7.0401, 7.0401, 5.6223 Å; angles 92.49, 92.49, 31.75 degrees
Atoms (fractional coordinates):
Te 0.9778 0.9778 0.0578
Co 0.4239 0.4239 0.7957
K 0.2349 0.2349 0.0994
Te 0.8634 0.8634 0.5471



Below is crystalline IrPb2 at its relaxed geometry, with properties calculated at the PBE level.

Results
The crystal system is hexagonal. Its formation energy is 1030.0 meV/atom. The electronic total energy is -52.75 eV per cell.

Cell lengths 6.2966, 6.2966, 10.8545 Å; angles 90.00, 90.00, 120.00 degrees
Atoms (fractional coordinates):
Pb 0.8326 0.1674 0.2500
Pb 0.6651 0.8326 0.7500
Pb 0.0000 0.0000 0.0000
Pb 0.1674 0.3349 0.7500
Ir 0.6667 0.3333 0.4383
Ir 0.6667 0.3333 0.0617
Ir 0.3333 0.6667 0.9383
Ir 0.3333 0.6667 0.5617
Pb 0.1674 0.8326 0.7500
Pb 0.3349 0.1674 0.2500
Pb 0.0000 0.0000 0.5000
Pb 0.8326 0.6651 0.2500



Below is crystalline Rb3TiO at its relaxed geometry, with properties calculated at the PBE level.

Results
The crystal system is cubic. The calculation puts the polymorph energy (0 for the lowest one) at 0.000 eV per atom. The electronic total energy is -13.87 eV per cell.

Cell lengths 5.8095, 5.8095, 5.8095 Å; angles 90.00, 90.00, 90.00 degrees
Atoms (fractional coordinates):
O 0.0000 0.0000 0.0000
Rb 0.0000 0.5000 0.0000
Rb 0.0000 0.0000 0.5000
Ti 0.5000 0.5000 0.5000
Rb 0.5000 0.0000 0.0000



Below is crystalline NaTbY2Te4 at its relaxed geometry, with properties calculated at the PBE level.

Results
The crystal system is monoclinic. The electronic total energy is -42.05 eV per cell.

Cell lengths 4.3599, 7.6407, 7.6429 Å; angles 108.91, 90.00, 90.00 degrees
Atoms (fractional coordinates):
Te 0.0000 0.2496 0.7496
Na 0.0000 0.0000 0.0000
Te 0.5000 0.7473 0.7469
Y 0.5000 0.0000 0.5000
Tb 0.5000 0.5000 0.0000
Y 0.0000 0.5000 0.5000
Te 0.0000 0.7504 0.2504
Te 0.5000 0.2527 0.2531